Run i
# Ga2AsC | Alexandria via LeMat-Bulk | PBE | optimized geometry
# spin magnetization: 0.00 μB per cell
data_Ga2AsC
_cell_length_a 5.298
_cell_length_b 5.298
_cell_length_c 9.907
_cell_angle_alpha 90.00
_cell_angle_beta 90.00
_cell_angle_gamma 90.00
_symmetry_space_group_name_H-M 'I -4 2 d'
_symmetry_Int_Tables_number 122
_symmetry_space_group_name_Hall 'I -4 2bw'
loop_
_atom_site_label
_atom_site_type_symbol
_atom_site_fract_x
_atom_site_fract_y
_atom_site_fract_z
Ga1 Ga 0.168 0.250 0.125
As1 As 0.000 0.000 0.500
C1 C 0.000 0.000 0.000


Run ii
# Ga2AsC | Alexandria via LeMat-Bulk | PBE | optimized geometry
# spin magnetization: 0.00 μB per cell
data_Ga2AsC
_cell_length_a 6.292
_cell_length_b 6.292
_cell_length_c 6.292
_cell_angle_alpha 90.00
_cell_angle_beta 90.00
_cell_angle_gamma 90.00
_symmetry_space_group_name_H-M 'F m -3 m'
_symmetry_Int_Tables_number 225
_symmetry_space_group_name_Hall '-F 4 2 3'
loop_
_atom_site_label
_atom_site_type_symbol
_atom_site_fract_x
_atom_site_fract_y
_atom_site_fract_z
Ga1 Ga 0.250 0.250 0.250
As1 As 0.000 0.000 0.000
C1 C 0.000 0.000 0.500


Bottom line: run i, by a margin of 91.4 kJ/mol of atoms.


Run i
# GaAsC | Alexandria via LeMat-Bulk | PBE | optimized geometry
# spin magnetization: 0.00 μB per cell
data_GaAsC
_cell_length_a 4.064
_cell_length_b 5.213
_cell_length_c 6.142
_cell_angle_alpha 110.99
_cell_angle_beta 103.39
_cell_angle_gamma 100.77
_symmetry_space_group_name_H-M 'P -1'
_symmetry_Int_Tables_number 2
_symmetry_space_group_name_Hall '-P 1'
loop_
_atom_site_label
_atom_site_type_symbol
_atom_site_fract_x
_atom_site_fract_y
_atom_site_fract_z
Ga1 Ga 0.141 0.001 0.202
As1 As 0.421 0.290 0.791
C1 C 0.416 0.377 0.500


Run ii
# GaAsC | Alexandria via LeMat-Bulk | PBE | optimized geometry
# spin magnetization: 0.00 μB per cell
data_GaAsC
_cell_length_a 4.096
_cell_length_b 4.300
_cell_length_c 7.442
_cell_angle_alpha 81.96
_cell_angle_beta 86.05
_cell_angle_gamma 65.20
_symmetry_space_group_name_H-M 'P 1'
_symmetry_Int_Tables_number 1
_symmetry_space_group_name_Hall 'P 1'
loop_
_atom_site_label
_atom_site_type_symbol
_atom_site_fract_x
_atom_site_fract_y
_atom_site_fract_z
Ga1 Ga 0.000 0.000 0.000
Ga2 Ga 0.332 0.285 0.493
As1 As 0.407 0.168 0.170
As2 As 0.672 0.600 0.599
C1 C 0.366 0.543 0.969
C2 C 0.647 0.416 0.854


Bottom line: run i, by a margin of 1.7 kJ/mol of atoms.